Entry 1:
NaErMgI6 | GGA-PBE | optimized geometry

a = 7.6028 Å, b = 7.6028 Å, c = 14.4862 Å
α = 90.00°, β = 90.00°, γ = 120.00°
Space group P-31c (No. 163)
Asymmetric unit:
Na (0.0000, 0.0000, 0.0000)
Er (0.3333, 0.6667, 0.2500)
Mg (0.3333, 0.6667, 0.7500)
I (0.0066, 0.3603, 0.6321)

Calculated values
M_tot ... 0.0 μB/cell
Calculated volume ... 725 Å³/cell
Energy relative to the elements, uncorrected ... -1.220 eV per atom
ρ ... 4.47 g cm⁻³

---

Entry 2:
RbErMgI6 | GGA-PBE | optimized geometry

a = 7.7141 Å, b = 7.7141 Å, c = 16.5859 Å
α = 90.00°, β = 90.00°, γ = 120.00°
Space group P-31c (No. 163)
Asymmetric unit:
Rb (0.0000, 0.0000, 0.0000)
Er (0.3333, 0.6667, 0.2500)
Mg (0.3333, 0.6667, 0.7500)
I (0.0064, 0.3734, 0.6459)

Calculated values
M_tot ... 0.0 μB/cell
Calculated volume ... 855 Å³/cell
Energy relative to the elements, uncorrected ... -1.293 eV per atom
ρ ... 4.03 g cm⁻³

---

Entry 3:
ErMn2I8 | GGA-PBE | optimized geometry

a = 12.227 Å, b = 12.603 Å, c = 7.128 Å
α = 90.00°, β = 100.11°, γ = 90.00°
Space group C2/m (No. 12)
Asymmetric unit:
Er (0.000, 0.000, 0.000)
Mn (0.211, 0.000, 0.665)
I (0.075, 0.500, 0.216)
I (0.104, 0.167, 0.785)
I (0.216, 0.000, 0.292)

Calculated values
M_tot ... 18.0 μB/cell
Calculated volume ... 1081 Å³/cell
Energy relative to the elements, uncorrected ... -0.701 eV per atom
ρ ... 3.97 g cm⁻³